A geometry-optimized HfAg2Hg structure. Source: the Alexandria database, functional GGA-PBE.

Summary:
E_tot = -0.27308 Ry per atom
M_tot = 0.000 μB/cell
theoretical density = 11.7 g/cm3
DFT formation energy = 0.27 eV per atom
D(E_F) = 2.316 states/eV/f.u.

Cell and atoms, written as extended XYZ:
```
4
Lattice="2.996 0.000 0.000 1.498 2.595 0.000 1.498 0.865 10.859" Properties=species:S:1:pos:R:3 pbc="T T T"
Hf 0.000 0.000 0.000
Hg 2.996 1.730 5.429
Ag 1.498 0.865 8.083
Ag 4.494 2.595 2.776
```

A geometry-optimized TbNpTc2 structure. Source: the Alexandria database, functional GGA-PBE.

Summary:
E_tot = -0.70291 Ry per atom
M_tot = 1.450 μB/cell
theoretical density = 12.5 g/cm3
energy above the lowest structure with this stoichiometry = 0 meV per atom
DFT formation energy = 0.01 eV per atom
D(E_F) = 5.152 states/eV/f.u.

Cell and atoms, written as extended XYZ:
```
4
Lattice="3.346 0.000 0.000 0.000 3.346 0.000 0.000 0.000 7.018" Properties=species:S:1:pos:R:3 pbc="T T T"
Np 1.673 1.673 0.000
Tb 1.673 1.673 3.509
Tc 0.000 0.000 5.564
Tc 0.000 0.000 1.454
```

A geometry-optimized K3Ac2TiSe6 structure. Source: the Alexandria database, functional GGA-PBE.

Summary:
E_tot = -0.35978 Ry per atom
M_tot = 1.000 μB/cell
theoretical density = 4.8 g/cm3
D(E_F) = 6.219 states/eV/f.u.

Cell and atoms, written as extended XYZ:
```
12
Lattice="-0.125 2.825 -7.015 -4.211 -6.043 1.720 -4.380 5.704 3.742" Properties=species:S:1:pos:R:3 pbc="T T T"
K -5.710 -1.692 2.114
K -3.006 4.178 -3.668
K -4.358 1.243 -0.777
Ac -2.851 -3.092 -1.187
Ac -1.484 -0.126 -4.108
Ti 0.000 0.000 0.000
Se -6.248 3.328 -2.473
Se -4.247 -1.331 -3.338
Se -2.468 -0.842 0.920
Se -7.466 0.684 0.132
Se -4.468 3.817 1.785
Se -1.250 1.802 -1.685
```

A geometry-optimized Pm4PrHoEr2 structure. Source: the Alexandria database, functional GGA-PBE.

Summary:
E_tot = -0.34306 Ry per atom
M_tot = 0.000 μB/cell
theoretical density = 7.7 g/cm3
DFT formation energy = 0.02 eV per atom
D(E_F) = 11.046 states/eV/f.u.

Cell and atoms, written as extended XYZ:
```
8
Lattice="3.616 0.000 0.000 0.000 6.235 -0.110 0.000 2.302 11.702" Properties=species:S:1:pos:R:3 pbc="T T T"
Pm 0.000 6.408 8.646
Pm 3.616 2.129 2.945
Pm 1.808 5.254 2.862
Pm 1.808 3.282 8.730
Pr 1.808 3.117 -0.055
Ho 0.000 4.268 5.796
Er 0.000 2.302 11.702
Er 1.808 1.151 5.851
```

A geometry-optimized SrSiP2 structure. Source: the Alexandria database, functional GGA-PBE.

Summary:
E_tot = -0.35212 Ry per atom
M_tot = 0.000 μB/cell
theoretical density = 3.2 g/cm3
D(E_F) = 1.071 states/eV/f.u.

Cell and atoms, written as extended XYZ:
```
4
Lattice="-0.406 2.983 -2.740 -4.373 -1.208 -0.667 -1.083 3.151 3.591" Properties=species:S:1:pos:R:3 pbc="T T T"
P -2.411 2.694 3.290
P -1.401 1.429 1.763
Si -1.567 1.977 -0.639
Sr -4.296 2.949 0.823
```

A geometry-optimized PmF3 structure. Source: the Alexandria database, functional GGA-PBE.

Summary:
E_tot = -0.48849 Ry per atom
M_tot = 0.000 μB/cell
theoretical density = 3.6 g/cm3
D(E_F) = 0.000 states/eV/f.u.

Cell and atoms, written as extended XYZ:
```
4
Lattice="4.550 0.000 0.000 0.000 4.550 0.000 0.000 0.000 4.550" Properties=species:S:1:pos:R:3 pbc="T T T"
Pm 0.000 0.000 0.000
F 0.000 0.000 2.275
F 2.275 0.000 0.000
F 0.000 2.275 0.000
```

A geometry-optimized AlCu2SiN structure. Source: the Alexandria database, functional GGA-PBE.

Summary:
E_tot = -0.24755 Ry per atom
M_tot = 2.316 μB/cell
theoretical density = 3.3 g/cm3
D(E_F) = 2.364 states/eV/f.u.

Cell and atoms, written as extended XYZ:
```
5
Lattice="-2.818 -3.144 -1.784 0.681 -2.744 3.761 -3.554 1.994 2.098" Properties=species:S:1:pos:R:3 pbc="T T T"
Si 0.340 -1.372 1.880
Al 0.000 0.000 0.000
Cu -1.777 0.997 1.049
Cu -1.409 -1.572 -0.892
N -2.845 -1.947 2.037
```

A geometry-optimized TiRuNO2 structure. Source: the Alexandria database, functional GGA-PBE.

Summary:
E_tot = -0.54146 Ry per atom
M_tot = 0.005 μB/cell
theoretical density = 5.7 g/cm3
D(E_F) = 5.478 states/eV/f.u.

Cell and atoms, written as extended XYZ:
```
5
Lattice="-1.237 3.513 1.142 -1.063 -1.492 3.438 3.416 0.754 1.383" Properties=species:S:1:pos:R:3 pbc="T T T"
Ru 0.000 0.000 0.000
N 1.708 0.377 0.691
O -0.531 -0.746 1.719
O -0.619 1.756 0.571
Ti 0.558 1.388 2.981
```

A geometry-optimized Al3InGe structure. Source: the Alexandria database, functional GGA-PBE.

Summary:
E_tot = -0.23389 Ry per atom
M_tot = 0.000 μB/cell
theoretical density = 3.7 g/cm3
energy above the lowest structure with this stoichiometry = 0 meV per atom
DFT formation energy = 0.53 eV per atom
D(E_F) = 2.220 states/eV/f.u.

Cell and atoms, written as extended XYZ:
```
5
Lattice="4.947 0.000 0.000 0.000 4.947 0.000 0.000 0.000 4.947" Properties=species:S:1:pos:R:3 pbc="T T T"
Ge 0.000 0.000 0.000
Al 0.000 2.474 0.000
Al 0.000 0.000 2.474
Al 2.474 0.000 0.000
In 2.474 2.474 2.474
```

A geometry-optimized PrNpTl2O6 structure. Source: the Alexandria database, functional GGA-PBE.

Summary:
E_tot = -0.54752 Ry per atom
M_tot = 0.132 μB/cell
theoretical density = 8.4 g/cm3

Cell and atoms, written as extended XYZ:
```
20
Lattice="-0.632 -0.152 6.239 -2.937 -5.524 -0.432 7.784 -4.192 0.686" Properties=species:S:1:pos:R:3 pbc="T T T"
Pr -0.316 -0.076 3.119
Pr 2.423 -4.858 0.127
Np 3.576 -2.172 3.462
Np -1.469 -2.762 -0.216
Tl -0.990 -6.573 -0.259
Tl 4.053 -5.982 3.419
Tl 5.204 -3.295 6.752
Tl 0.161 -3.886 3.074
O -2.230 -4.081 1.137
O 1.212 -6.504 4.580
O 6.444 -5.786 5.356
O 3.002 -3.364 1.913
O 1.413 -6.353 1.708
O 5.095 -8.326 5.186
O 2.801 -3.515 4.784
O -0.881 -1.542 1.306
O -0.305 -3.872 6.099
O 5.370 -3.134 3.537
O 4.519 -5.995 0.394
O -1.156 -6.734 2.955
```